# 1
VASP calculation (PBE) on a geometry-optimized Pu2NpS3 structure.

Structure (POSCAR):
```
Pu2NpS3
1.0
3.943 0.000 0.000
0.000 5.577 0.000
-1.972 -2.789 5.918
Pu Np S
2 1 3
Cartesian
2.958 4.183 0.981 Pu
-0.986 -1.394 4.936 Pu
0.986 1.394 2.959 Np
2.958 1.394 1.007 S
-0.986 1.394 4.911 S
0.986 -1.394 2.959 S
```

Calculated values
Crystal system = orthorhombic
ΔE_f (raw) = -9.73 eV per formula unit
Symmetry = Immm
E_tot = -10.619 eV per atom

=====

# 2
VASP calculation (PBE) on a geometry-optimized Pu2Np3S8 structure.

Structure (POSCAR):
```
Pu2Np3S8
1.0
4.699 0.000 0.000
0.000 8.211 -4.718
0.000 -0.783 8.141
Pu Np S
2 3 8
Cartesian
2.349 1.759 3.061 Pu
2.349 5.669 0.362 Pu
2.349 0.000 0.000 Np
0.000 1.503 6.828 Np
0.000 5.925 -3.405 Np
0.000 4.946 -0.897 S
0.000 2.482 4.320 S
0.000 0.769 1.338 S
0.000 6.659 2.085 S
2.349 4.659 3.154 S
2.349 0.379 5.613 S
2.349 7.049 -2.190 S
2.349 2.769 0.270 S
```

Calculated values
Crystal system = orthorhombic
ΔE_f (raw) = -17.52 eV per formula unit
Symmetry = Cmmm
E_tot = -9.079 eV per atom

=====

# 3
VASP calculation (PBE) on a geometry-optimized PuNp2S3 structure.

Structure (POSCAR):
```
PuNp2S3
1.0
3.748 0.000 -1.134
-0.687 5.014 -2.270
0.015 0.016 6.807
Pu Np S
1 2 3
Cartesian
1.538 2.515 1.702 Pu
2.554 4.184 -1.697 Np
0.521 0.846 5.100 Np
2.892 1.666 -0.584 S
0.184 3.364 3.987 S
1.881 0.008 2.837 S
```

Calculated values
Crystal system = orthorhombic
ΔE_f (raw) = -8.94 eV per formula unit
Symmetry = Immm
E_tot = -10.256 eV per atom

=====

# 4
VASP calculation (PBE) on a geometry-optimized PuNp2S6 structure.

Structure (POSCAR):
```
PuNp2S6
1.0
5.039 0.000 0.000
2.520 6.681 -0.598
2.520 2.055 6.832
Pu Np S
1 2 6
Cartesian
2.520 4.368 3.117 Pu
5.039 6.803 5.651 Np
5.039 1.933 0.583 Np
7.559 6.004 5.564 S
2.520 2.732 0.669 S
7.559 6.177 1.006 S
5.039 5.813 3.337 S
2.520 2.559 5.227 S
5.039 2.924 2.897 S
```

Calculated values
Crystal system = monoclinic
ΔE_f (raw) = -11.25 eV per formula unit
Symmetry = C2/m
E_tot = -8.470 eV per atom
Distance to the lowest polymorph of the same formula = 102 meV/atom

=====

# 5
VASP calculation (PBE) on a geometry-optimized Pu6NpS8 structure.

Structure (POSCAR):
```
Pu6NpS8
1.0
-2.077 5.463 5.352
3.858 0.447 6.908
4.798 6.134 1.469
Pu Np S
6 1 8
Cartesian
4.328 3.290 4.188 Pu
-1.038 2.731 2.676 Pu
0.891 2.955 6.130 Pu
2.399 3.067 0.734 Pu
1.929 0.224 3.454 Pu
1.361 5.798 3.410 Pu
0.000 0.000 0.000 Np
4.935 9.033 10.296 S
1.645 3.011 3.432 S
0.556 5.737 6.094 S
6.024 6.307 7.634 S
4.058 6.079 4.116 S
2.521 5.965 9.613 S
3.000 8.862 6.842 S
3.579 3.182 6.886 S
```

Calculated values
Crystal system = cubic
ΔE_f (raw) = -25.49 eV per formula unit
Symmetry = Fm-3m
E_tot = -10.496 eV per atom

=====

# 6
VASP calculation (PBE) on a geometry-optimized PuNpSc2S4 structure.

Structure (POSCAR):
```
PuNpSc2S4
1.0
3.790 0.000 0.000
0.000 6.577 0.120
0.000 -2.294 6.233
Pu Np Sc S
1 1 2 4
Cartesian
1.895 3.288 0.060 Pu
0.000 0.000 0.000 Np
1.895 -1.147 3.116 Sc
0.000 2.141 3.176 Sc
1.895 1.066 1.698 S
1.895 3.217 4.654 S
0.000 -0.081 4.592 S
0.000 4.363 1.760 S
```

Calculated values
Crystal system = monoclinic
ΔE_f (raw) = -13.78 eV per formula unit
Symmetry = P2/m
E_tot = -8.778 eV per atom